CaCd3Sb after structural relaxation, computed with PBEsol.

Output
Formation energy (no corrections), eV/atom: 0.283

a b c (Å): 5.508 5.508 5.508
angles (deg): 90.00 90.00 90.00
Space group Pm-3m (No. 221)
Symmetry-distinct sites (fractional):
Ca  0.000  0.000  0.000
Cd  0.000  0.500  0.500
Sb  0.500  0.500  0.500

---

CaCd2Sb after structural relaxation, computed with PBEsol.

Output
Formation energy (no corrections), eV/atom: -0.427

a b c (Å): 4.399 4.399 4.975
angles (deg): 90.00 90.00 90.00
Space group P4/mmm (No. 123)
Symmetry-distinct sites (fractional):
Ca  0.000  0.000  0.000
Cd  0.000  0.500  0.500
Sb  0.500  0.500  0.000

---

Ca2CdSb after structural relaxation, computed with PBEsol.

Output
Formation energy (no corrections), eV/atom: -0.710

a b c (Å): 4.494 4.422 11.581
angles (deg): 90.00 90.00 90.00
Space group Amm2 (No. 38)
Symmetry-distinct sites (fractional):
Ca  0.000  0.000  0.000
Ca  0.500  0.000  0.277
Cd  0.000  0.000  0.725
Sb  0.500  0.000  0.556

---

CaCd2Sb after structural relaxation, computed with PBEsol.

Output
Formation energy (no corrections), eV/atom: -0.298

a b c (Å): 3.527 4.243 6.654
angles (deg): 90.00 90.00 90.00
Space group Pmm2 (No. 25)
Symmetry-distinct sites (fractional):
Ca  0.000  0.000  0.000
Cd  0.000  0.000  0.488
Cd  0.500  0.500  0.296
Sb  0.500  0.500  0.759

---

CaCdSb2 after structural relaxation, computed with PBEsol.

Output
Formation energy (no corrections), eV/atom: -0.388

a b c (Å): 4.414 4.414 10.382
angles (deg): 90.00 90.00 90.00
Space group I-4m2 (No. 119)
Symmetry-distinct sites (fractional):
Ca  0.000  0.000  0.000
Cd  0.000  0.500  0.250
Sb  0.000  0.000  0.500
Sb  0.000  0.500  0.750

---

Ca2CdSb2 after structural relaxation, computed with PBEsol.

Output
Formation energy (no corrections), eV/atom: -0.385

a b c (Å): 4.276 4.276 16.678
angles (deg): 90.00 90.00 90.00
Space group I4/mmm (No. 139)
Symmetry-distinct sites (fractional):
Ca  0.000  0.000  0.106
Cd  0.000  0.000  0.500
Sb  0.000  0.500  0.250

---

CaCd2Sb after structural relaxation, computed with PBEsol.

Output
Formation energy (no corrections), eV/atom: -0.280

a b c (Å): 7.386 7.386 7.386
angles (deg): 90.00 90.00 90.00
Space group F-43m (No. 216)
Symmetry-distinct sites (fractional):
Ca  0.000  0.000  0.000
Cd  0.000  0.000  0.500
Cd  0.250  0.250  0.250
Sb  0.250  0.250  0.750

---

CaCd2Sb2 after structural relaxation, computed with PBEsol.

Output
Formation energy (no corrections), eV/atom: -0.460

a b c (Å): 4.6333 4.6333 7.4814
angles (deg): 90.00 90.00 120.00
Space group P-3m1 (No. 164)
Symmetry-distinct sites (fractional):
Ca  0.0000  0.0000  0.0000
Cd  0.3333  0.6667  0.6300
Sb  0.3333  0.6667  0.2345

---

no.,theoretical density (Mg/m³),V (Å³/cell)
1,4.96,167
2,6.67,96
3,4.54,230
4,6.45,100
5,6.50,202
6,4.75,305
7,6.37,403
8,6.07,139